GGA-PBE TcPd8, relaxed; theoretical density = 11.48 Mg/m³; D(E_F) = 14.6 states/eV/cell; calculated formation energy = 0.018 eV/atom; space-group type = No. 139
1.0
3.730 0.000 1.236
1.865 5.911 0.618
0.006 0.000 6.229
Tc Pd
1 8
Direct
0.000 0.000 0.000
0.329 0.671 0.671
0.000 0.671 0.329
0.663 0.675 0.000
0.671 0.329 0.329
0.000 0.329 0.671
0.337 0.325 0.000
0.663 0.000 0.675
0.337 0.000 0.325